Record 1
{
  "formula": "Ce3BiIr",
  "functional": "PBE",
  "state": "relaxed",
  "lattice": [[-3.063, 1.097, 2.916], [-2.413, -7.797, 0.398], [6.241, 2.280, 5.697]],
  "species": ["Ce", "Ce", "Ce", "Ce", "Ce", "Ce", "Bi", "Bi", "Ir", "Ir"],
  "fractional_positions": [[0.750, 0.678, 0.410], [0.250, 0.322, 0.590], [0.750, 0.371, 0.938], [0.250, 0.982, 0.768], [0.250, 0.629, 0.062], [0.750, 0.018, 0.232], [0.250, 0.314, 0.202], [0.750, 0.686, 0.798], [0.250, 0.900, 0.383], [0.750, 0.100, 0.617]],
  "dos_ef_per_ev_atom": 3.11,
  "final_energy_ev_per_atom": -6.728,
  "ef_ev_per_atom": -0.619,
  "sg": "P2_1/m, No. 11",
  "e_above_lowest_polymorph_kj_per_mol_atoms": 4.47,
  "magmom_total_mub_per_cell": 5.095
}


Record 2
{
  "formula": "Ce5Bi2Ir",
  "functional": "PBE",
  "state": "relaxed",
  "lattice": [[5.766, 0.000, 0.000], [-2.883, 8.281, 0.000], [0.000, 0.000, 13.202]],
  "species": ["Ce", "Ce", "Ce", "Ce", "Ce", "Ce", "Ce", "Ce", "Ce", "Ce", "Bi", "Bi", "Bi", "Bi", "Ir", "Ir"],
  "fractional_positions": [[0.949, 0.898, 0.901], [0.949, 0.898, 0.599], [0.279, 0.558, 0.415], [0.279, 0.558, 0.085], [0.686, 0.373, 0.250], [0.314, 0.627, 0.750], [0.721, 0.442, 0.585], [0.721, 0.442, 0.915], [0.051, 0.102, 0.099], [0.051, 0.102, 0.401], [0.856, 0.712, 0.388], [0.856, 0.712, 0.112], [0.144, 0.288, 0.612], [0.144, 0.288, 0.888], [0.833, 0.667, 0.750], [0.167, 0.333, 0.250]],
  "dos_ef_per_ev_atom": 4.06,
  "final_energy_ev_per_atom": -5.957,
  "ef_ev_per_atom": -0.170,
  "sg": "Cmcm, No. 63",
  "e_above_lowest_polymorph_kj_per_mol_atoms": 43.68,
  "magmom_total_mub_per_cell": 14.240
}


Record 3
{
  "formula": "Ce8Bi2Ir",
  "functional": "PBE",
  "state": "relaxed",
  "lattice": [[5.650, 0.000, 0.000], [0.000, 6.520, -0.556], [-2.825, -3.424, 8.779]],
  "species": ["Ce", "Ce", "Ce", "Ce", "Ce", "Ce", "Ce", "Ce", "Bi", "Bi", "Ir"],
  "fractional_positions": [[0.392, 0.534, 0.784], [0.631, 0.927, 0.261], [0.773, 0.685, 0.546], [0.001, 0.221, 0.002], [0.227, 0.315, 0.454], [0.369, 0.073, 0.739], [0.608, 0.466, 0.216], [0.999, 0.779, 0.998], [0.825, 0.260, 0.650], [0.175, 0.740, 0.350], [0.500, 0.000, 0.000]],
  "dos_ef_per_ev_atom": 3.22,
  "final_energy_ev_per_atom": -6.165,
  "ef_ev_per_atom": -0.338,
  "sg": "C2/m, No. 12",
  "magmom_total_mub_per_cell": 6.152
}


Record 4
{
  "formula": "Ce4BiIr2",
  "functional": "PBE",
  "state": "relaxed",
  "lattice": [[7.714, -1.297, -0.151], [-1.851, 7.600, 0.151], [-2.820, -3.255, 6.545]],
  "species": ["Ce", "Ce", "Ce", "Ce", "Ce", "Ce", "Ce", "Ce", "Bi", "Bi", "Ir", "Ir", "Ir", "Ir"],
  "fractional_positions": [[0.993, 0.242, 0.401], [0.408, 0.508, 0.250], [0.842, 0.592, 0.599], [0.758, 0.158, 0.749], [0.408, 0.009, 0.251], [0.258, 0.158, 0.750], [0.492, 0.743, 0.901], [0.842, 0.591, 0.099], [0.250, 0.750, 0.500], [0.000, 0.000, 0.000], [0.499, 0.375, 0.624], [0.751, 0.875, 0.376], [0.625, 0.249, 0.124], [0.125, 0.501, 0.876]],
  "dos_ef_per_ev_atom": 2.52,
  "final_energy_ev_per_atom": -7.088,
  "ef_ev_per_atom": -0.612,
  "sg": "Fdd2, No. 43",
  "e_above_lowest_polymorph_kj_per_mol_atoms": 4.23,
  "magmom_total_mub_per_cell": 4.353
}


Record 5
{
  "formula": "Ce3BiIrN",
  "functional": "PBE",
  "state": "relaxed",
  "lattice": [[4.134, 0.000, 0.000], [0.000, 8.905, 0.554], [0.000, -2.835, 8.851]],
  "species": ["Ce", "Ce", "Ce", "Ce", "Ce", "Ce", "Bi", "Bi", "Ir", "Ir", "N", "N"],
  "fractional_positions": [[0.250, 0.833, 0.472], [0.750, 0.872, 0.152], [0.750, 0.441, 0.156], [0.750, 0.167, 0.528], [0.250, 0.559, 0.844], [0.250, 0.128, 0.848], [0.750, 0.820, 0.768], [0.250, 0.180, 0.232], [0.250, 0.656, 0.153], [0.750, 0.344, 0.847], [0.250, 0.081, 0.599], [0.750, 0.919, 0.401]],
  "dos_ef_per_ev_atom": 2.23,
  "final_energy_ev_per_atom": -7.393,
  "raw_formation_energy_kcal_per_mol_atoms": -21.1,
  "sg": "P2_1/m, No. 11",
  "magmom_total_mub_per_cell": 3.012
}


Record 6
{
  "formula": "Ce5Bi2IrN",
  "functional": "PBE",
  "state": "relaxed",
  "lattice": [[-0.052, -4.195, -1.997], [2.776, 1.573, -3.377], [9.251, -3.057, 6.180]],
  "species": ["Ce", "Ce", "Ce", "Ce", "Ce", "Bi", "Bi", "Ir", "N"],
  "fractional_positions": [[0.000, 0.500, 0.500], [0.500, 0.000, 0.500], [0.000, 0.000, 0.775], [0.000, 0.000, 0.225], [0.500, 0.500, 0.000], [0.500, 0.500, 0.287], [0.500, 0.500, 0.713], [0.000, 0.000, 0.000], [0.000, 0.000, 0.500]],
  "dos_ef_per_ev_atom": 3.01,
  "final_energy_ev_per_atom": -6.823,
  "raw_formation_energy_kcal_per_mol_atoms": -17.4,
  "sg": "P4/mmm, No. 123",
  "magmom_total_mub_per_cell": 5.291
}


Record 7
{
  "formula": "CeBiIrO6",
  "functional": "PBE",
  "state": "relaxed",
  "lattice": [[5.571, 0.000, 0.000], [-2.785, 4.824, 0.000], [0.000, 0.000, 9.813]],
  "species": ["Ce", "Ce", "Bi", "Bi", "Ir", "Ir", "O", "O", "O", "O", "O", "O", "O", "O", "O", "O", "O", "O"],
  "fractional_positions": [[0.333, 0.667, 0.250], [0.667, 0.333, 0.750], [0.000, 0.000, 0.000], [0.000, 0.000, 0.500], [0.667, 0.333, 0.250], [0.333, 0.667, 0.750], [0.664, 0.628, 0.136], [0.964, 0.336, 0.136], [0.336, 0.964, 0.636], [0.036, 0.664, 0.864], [0.372, 0.336, 0.364], [0.964, 0.628, 0.364], [0.628, 0.964, 0.864], [0.664, 0.036, 0.364], [0.036, 0.372, 0.636], [0.372, 0.036, 0.136], [0.628, 0.664, 0.636], [0.336, 0.372, 0.864]],
  "dos_ef_per_ev_atom": 0.53,
  "final_energy_ev_per_atom": -7.046,
  "raw_formation_energy_kcal_per_mol_atoms": -38.4,
  "sg": "P-31c, No. 163",
  "magmom_total_mub_per_cell": 3.965
}


Record 8
{
  "formula": "KCeBi2",
  "functional": "PBE",
  "state": "relaxed",
  "lattice": [[4.763, 0.000, 0.000], [2.381, 4.125, 0.000], [2.381, 1.375, 8.252]],
  "species": ["K", "Ce", "Bi", "Bi"],
  "fractional_positions": [[0.497, 0.497, 0.509], [0.668, 0.668, 0.996], [0.066, 0.066, 0.802], [0.269, 0.269, 0.194]],
  "dos_ef_per_ev_atom": 1.81,
  "final_energy_ev_per_atom": -4.096,
  "ef_ev_per_atom": -0.398,
  "sg": "R3m, No. 160",
  "e_above_lowest_polymorph_kj_per_mol_atoms": 11.64,
  "magmom_total_mub_per_cell": 0.132
}